(1)
Compound: Ce2SiAu
Source: the Alexandria database
Functional: GGA-PBE
Structure: relaxed

Output
Theoretical density, g cm⁻³: 7.73
Formation energy from raw total energies, eV per atom: -0.452
DOS(E_F), states/eV per cell: 10.924
Electronic total energy, eV per cell: -22.38
ΔE to the lowest computed polymorph, eV per atom: 0.1283

The structure in CIF format:
```
data_Ce2SiAu
_chemical_formula_sum 'Ce2 Si1 Au1'
_cell_length_a 7.8613
_cell_length_b 7.8613
_cell_length_c 7.8613
_cell_angle_alpha 30.15
_cell_angle_beta 30.15
_cell_angle_gamma 30.15
_space_group_name_H-M_alt 'P 1'
_space_group_IT_number 1
loop_
_space_group_symop_operation_xyz
'x,y,z'
loop_
_atom_site_label
_atom_site_fract_x
_atom_site_fract_y
_atom_site_fract_z
Ce1 0.2441 0.2441 0.2441
Ce2 0.7559 0.7559 0.7559
Si1 0.5000 0.5000 0.5000
Au1 0.0000 0.0000 0.0000
```

---

(2)
Compound: BeCrRu2
Source: the Alexandria database
Functional: GGA-PBE
Structure: relaxed

Output
Theoretical density, g cm⁻³: 9.11
DOS(E_F), states/eV per cell: 3.014
Electronic total energy, eV per cell: -32.20
Energy of formation from the pure elements, eV per atom: -0.07

The structure in CIF format:
```
data_BeCrRu2
_chemical_formula_sum 'Be1 Cr1 Ru2'
_cell_length_a 4.8270
_cell_length_b 4.8270
_cell_length_c 4.8270
_cell_angle_alpha 144.72
_cell_angle_beta 131.78
_cell_angle_gamma 61.14
_space_group_name_H-M_alt 'P 1'
_space_group_IT_number 1
loop_
_space_group_symop_operation_xyz
'x,y,z'
loop_
_atom_site_label
_atom_site_fract_x
_atom_site_fract_y
_atom_site_fract_z
Be1 0.0000 0.0000 0.0000
Cr1 0.2403 0.7403 0.5000
Ru1 0.4933 0.4933 0.0000
Ru2 0.7580 0.2580 0.5000
```

---

(3)
Compound: SrScPt2
Source: the Alexandria database
Functional: GGA-PBE
Structure: relaxed

Output
Theoretical density, g cm⁻³: 10.86
DOS(E_F), states/eV per cell: 4.484
Electronic total energy, eV per cell: -21.85
Energy of formation from the pure elements, eV per atom: -0.44
ΔE to the lowest computed polymorph, eV per atom: 0.5625

The structure in CIF format:
```
data_SrScPt2
_chemical_formula_sum 'Sr1 Sc1 Pt2'
_cell_length_a 4.8346
_cell_length_b 4.8346
_cell_length_c 4.8346
_cell_angle_alpha 60.00
_cell_angle_beta 60.00
_cell_angle_gamma 60.00
_space_group_name_H-M_alt 'P 1'
_space_group_IT_number 1
loop_
_space_group_symop_operation_xyz
'x,y,z'
loop_
_atom_site_label
_atom_site_fract_x
_atom_site_fract_y
_atom_site_fract_z
Sr1 0.0000 0.0000 0.0000
Sc1 0.7500 0.7500 0.7500
Pt1 0.2500 0.2500 0.2500
Pt2 0.5000 0.5000 0.5000
```

---

(4)
Compound: Er5TePb4
Source: the Alexandria database
Functional: GGA-PBE
Structure: relaxed

Output
Theoretical density, g cm⁻³: 9.88
Formation energy from raw total energies, eV per atom: -0.543
DOS(E_F), states/eV per cell: 6.434
Electronic total energy, eV per cell: -46.22

The structure in CIF format:
```
data_Er5TePb4
_chemical_formula_sum 'Er5 Te1 Pb4'
_cell_length_a 7.6249
_cell_length_b 7.6249
_cell_length_c 7.6249
_cell_angle_alpha 99.57
_cell_angle_beta 99.57
_cell_angle_gamma 131.88
_space_group_name_H-M_alt 'P 1'
_space_group_IT_number 1
loop_
_space_group_symop_operation_xyz
'x,y,z'
loop_
_atom_site_label
_atom_site_fract_x
_atom_site_fract_y
_atom_site_fract_z
Er1 0.0000 0.0000 0.0000
Er2 0.2020 0.4021 0.6041
Er3 0.4021 0.7980 0.2002
Er4 0.5979 0.2020 0.7998
Er5 0.7980 0.5979 0.3959
Te1 0.5000 0.5000 0.0000
Pb1 0.1010 0.7005 0.8015
Pb2 0.2995 0.1010 0.4006
Pb3 0.7005 0.8990 0.5994
Pb4 0.8990 0.2995 0.1985
```

---

(5)
Compound: ZrCoOs2
Source: the Alexandria database
Functional: GGA-PBE
Structure: relaxed

Output
Theoretical density, g cm⁻³: 14.67
DOS(E_F), states/eV per cell: 5.776
Electronic total energy, eV per cell: -38.25
Energy of formation from the pure elements, eV per atom: -0.03
ΔE to the lowest computed polymorph, eV per atom: 0.0000

The structure in CIF format:
```
data_ZrCoOs2
_chemical_formula_sum 'Zr1 Co1 Os2'
_cell_length_a 3.8616
_cell_length_b 3.8616
_cell_length_c 4.0265
_cell_angle_alpha 90.00
_cell_angle_beta 90.00
_cell_angle_gamma 90.00
_space_group_name_H-M_alt 'P 1'
_space_group_IT_number 1
loop_
_space_group_symop_operation_xyz
'x,y,z'
loop_
_atom_site_label
_atom_site_fract_x
_atom_site_fract_y
_atom_site_fract_z
Zr1 0.0000 0.0000 0.0000
Co1 0.5000 0.5000 0.0000
Os1 0.0000 0.5000 0.5000
Os2 0.5000 0.0000 0.5000
```

---

(6)
Compound: Pr5AgSe4
Source: the Alexandria database
Functional: GGA-PBE
Structure: relaxed

Output
Theoretical density, g cm⁻³: 6.71
Formation energy from raw total energies, eV per atom: -1.527
DOS(E_F), states/eV per cell: 4.798
Electronic total energy, eV per cell: -55.95

The structure in CIF format:
```
data_Pr5AgSe4
_chemical_formula_sum 'Pr5 Ag1 Se4'
_cell_length_a 7.4224
_cell_length_b 7.4224
_cell_length_c 7.4224
_cell_angle_alpha 99.71
_cell_angle_beta 99.71
_cell_angle_gamma 131.51
_space_group_name_H-M_alt 'P 1'
_space_group_IT_number 1
loop_
_space_group_symop_operation_xyz
'x,y,z'
loop_
_atom_site_label
_atom_site_fract_x
_atom_site_fract_y
_atom_site_fract_z
Pr1 0.0000 0.0000 0.0000
Pr2 0.1934 0.6030 0.7965
Pr3 0.3970 0.1934 0.5904
Pr4 0.6030 0.8066 0.4096
Pr5 0.8066 0.3970 0.2035
Ag1 0.5000 0.5000 0.0000
Se1 0.1007 0.3005 0.4012
Se2 0.3005 0.8993 0.1998
Se3 0.6995 0.1007 0.8002
Se4 0.8993 0.6995 0.5988
```

---

(7)
Compound: LaCuTcH6
Source: the Alexandria database
Functional: GGA-PBE
Structure: relaxed

Output
Theoretical density, g cm⁻³: 5.91
DOS(E_F), states/eV per cell: 4.984
Electronic total energy, eV per cell: -41.44

The structure in CIF format:
```
data_LaCuTcH6
_chemical_formula_sum 'La1 Cu1 Tc1 H6'
_cell_length_a 4.6740
_cell_length_b 4.6740
_cell_length_c 4.5527
_cell_angle_alpha 90.00
_cell_angle_beta 90.00
_cell_angle_gamma 120.00
_space_group_name_H-M_alt 'P 1'
_space_group_IT_number 1
loop_
_space_group_symop_operation_xyz
'x,y,z'
loop_
_atom_site_label
_atom_site_fract_x
_atom_site_fract_y
_atom_site_fract_z
La1 0.0000 0.0000 0.0000
Cu1 0.3333 0.6667 0.5000
Tc1 0.6667 0.3333 0.5000
H1 0.5056 0.0113 0.2419
H2 0.5056 0.0113 0.7581
H3 0.5056 0.4944 0.2419
H4 0.5056 0.4944 0.7581
H5 0.9887 0.4944 0.2419
H6 0.9887 0.4944 0.7581
```

---

(8)
Compound: Na2La2Se
Source: the Alexandria database
Functional: GGA-PBE
Structure: relaxed

Output
Theoretical density, g cm⁻³: 3.55
Formation energy from raw total energies, eV per atom: -0.433
DOS(E_F), states/eV per cell: 12.859
Electronic total energy, eV per cell: -36.29

The structure in CIF format:
```
data_Na2La2Se
_chemical_formula_sum 'Na4 La4 Se2'
_cell_length_a 7.6891
_cell_length_b 7.6891
_cell_length_c 6.3771
_cell_angle_alpha 90.00
_cell_angle_beta 90.00
_cell_angle_gamma 90.00
_space_group_name_H-M_alt 'P 1'
_space_group_IT_number 1
loop_
_space_group_symop_operation_xyz
'x,y,z'
loop_
_atom_site_label
_atom_site_fract_x
_atom_site_fract_y
_atom_site_fract_z
Na1 0.1579 0.3421 0.0000
Na2 0.3421 0.8421 0.0000
Na3 0.6579 0.1579 0.0000
Na4 0.8421 0.6579 0.0000
La1 0.1487 0.6487 0.5000
La2 0.3513 0.1487 0.5000
La3 0.6487 0.8513 0.5000
La4 0.8513 0.3513 0.5000
Se1 0.0000 0.0000 0.5000
Se2 0.5000 0.5000 0.5000
```

---

(9)
Compound: NaSn2Au2
Source: the Alexandria database
Functional: GGA-PBE
Structure: relaxed

Output
Theoretical density, g cm⁻³: 8.27
DOS(E_F), states/eV per cell: 2.222
Electronic total energy, eV per cell: -16.87
Energy of formation from the pure elements, eV per atom: -0.20
ΔE to the lowest computed polymorph, eV per atom: 0.0808

The structure in CIF format:
```
data_NaSn2Au2
_chemical_formula_sum 'Na1 Sn2 Au2'
_cell_length_a 6.4877
_cell_length_b 6.4877
_cell_length_c 6.4877
_cell_angle_alpha 135.68
_cell_angle_beta 135.68
_cell_angle_gamma 64.48
_space_group_name_H-M_alt 'P 1'
_space_group_IT_number 1
loop_
_space_group_symop_operation_xyz
'x,y,z'
loop_
_atom_site_label
_atom_site_fract_x
_atom_site_fract_y
_atom_site_fract_z
Na1 0.0000 0.0000 0.0000
Sn1 0.3681 0.3681 0.0000
Sn2 0.6319 0.6319 0.0000
Au1 0.2500 0.7500 0.5000
Au2 0.7500 0.2500 0.5000
```

---

(10)
Compound: BAuOF2
Source: the Alexandria database
Functional: GGA-PBE
Structure: relaxed

Output
Theoretical density, g cm⁻³: 5.70
Formation energy from raw total energies, eV per atom: 0.492
DOS(E_F), states/eV per cell: 3.456
Electronic total energy, eV per cell: -16.20
ΔE to the lowest computed polymorph, eV per atom: 1.5206

The structure in CIF format:
```
data_BAuOF2
_chemical_formula_sum 'B1 Au1 O1 F2'
_cell_length_a 4.3595
_cell_length_b 4.3595
_cell_length_c 4.0133
_cell_angle_alpha 90.00
_cell_angle_beta 90.00
_cell_angle_gamma 90.00
_space_group_name_H-M_alt 'P 1'
_space_group_IT_number 1
loop_
_space_group_symop_operation_xyz
'x,y,z'
loop_
_atom_site_label
_atom_site_fract_x
_atom_site_fract_y
_atom_site_fract_z
B1 0.0000 0.0000 0.0000
Au1 0.5000 0.5000 0.5000
O1 0.5000 0.5000 0.0000
F1 0.0000 0.5000 0.5000
F2 0.5000 0.0000 0.5000
```

---

(11)
Compound: Sc6Tl5Cd
Source: the Alexandria database
Functional: GGA-PBE
Structure: relaxed

Output
Theoretical density, g cm⁻³: 8.39
DOS(E_F), states/eV per cell: 12.093
Electronic total energy, eV per cell: -53.97
Energy of formation from the pure elements, eV per atom: -0.27

The structure in CIF format:
```
data_Sc6Tl5Cd
_chemical_formula_sum 'Sc6 Tl5 Cd1'
_cell_length_a 8.0621
_cell_length_b 8.0621
_cell_length_c 7.1407
_cell_angle_alpha 90.00
_cell_angle_beta 90.00
_cell_angle_gamma 143.22
_space_group_name_H-M_alt 'P 1'
_space_group_IT_number 1
loop_
_space_group_symop_operation_xyz
'x,y,z'
loop_
_atom_site_label
_atom_site_fract_x
_atom_site_fract_y
_atom_site_fract_z
Sc1 0.0000 0.0000 0.2485
Sc2 0.0000 0.0000 0.7515
Sc3 0.3331 0.6669 0.2524
Sc4 0.3331 0.6669 0.7476
Sc5 0.6669 0.3331 0.2524
Sc6 0.6669 0.3331 0.7476
Tl1 0.1621 0.8379 0.5000
Tl2 0.1669 0.8331 0.0000
Tl3 0.5000 0.5000 0.0000
Tl4 0.8331 0.1669 0.0000
Tl5 0.8379 0.1621 0.5000
Cd1 0.5000 0.5000 0.5000
```

---

(12)
Compound: Dy6Tl5Pb
Source: the Alexandria database
Functional: GGA-PBE
Structure: relaxed

Output
Theoretical density, g cm⁻³: 11.11
DOS(E_F), states/eV per cell: 7.228
Electronic total energy, eV per cell: -47.35
Energy of formation from the pure elements, eV per atom: -0.35
ΔE to the lowest computed polymorph, eV per atom: 0.0000

The structure in CIF format:
```
data_Dy6Tl5Pb
_chemical_formula_sum 'Dy6 Tl5 Pb1'
_cell_length_a 9.3218
_cell_length_b 9.3218
_cell_length_c 5.3860
_cell_angle_alpha 106.76
_cell_angle_beta 106.76
_cell_angle_gamma 120.27
_space_group_name_H-M_alt 'P 1'
_space_group_IT_number 1
loop_
_space_group_symop_operation_xyz
'x,y,z'
loop_
_atom_site_label
_atom_site_fract_x
_atom_site_fract_y
_atom_site_fract_z
Dy1 0.0836 0.4170 0.7503
Dy2 0.2504 0.2504 0.2503
Dy3 0.4170 0.0836 0.7503
Dy4 0.5830 0.9164 0.2497
Dy5 0.7496 0.7496 0.7497
Dy6 0.9164 0.5830 0.2497
Tl1 0.0000 0.0000 0.5000
Tl2 0.1659 0.8341 0.0000
Tl3 0.3304 0.6696 0.5000
Tl4 0.6696 0.3304 0.5000
Tl5 0.8341 0.1659 0.0000
Pb1 0.5000 0.5000 0.0000
```

---

Respective size of the total moment values: 1.80 0.00 0.00 0.00 0.03 0.00 1.23 0.00 0.00 0.00 0.00 0.00 μB/cell.